Computed, not measured: a relaxed structure of Er2TmScS4 at the PBE level of DFT.

a = 6.620 Å, b = 3.792 Å, c = 6.642 Å
α = 90.00°, β = 109.13°, γ = 90.00°
Space group P2/m (No. 10)
Asymmetric unit:
Er1 0.000 0.000 0.000 x1
Er2 0.500 0.500 0.000 x1
Tm1 0.000 0.500 0.500 x1
Sc1 0.500 0.000 0.500 x1
S1 0.253 0.000 0.745 x2
S2 0.257 0.500 0.259 x2

Calculated values
- Uncorrected formation energy: -15.35 eV/f.u.
- Electronic total energy: -6.474 eV/atom